Record 1
A relaxed structure of GdZnSi, computed with GGA-PBE.

Cell lengths 4.1351, 4.1351, 4.1017 Å; angles 90.00, 90.00, 120.00 degrees
With the nearest neighbours (Å) after each atom.
Fractional coordinates of all 3 atoms:
Zn1 0.3333 0.6667 0.5000  3 Si 2.39
Gd1 0.6667 0.3333 0.0000  6 Zn 3.15, 6 Si 3.15
Si1 0.0000 0.0000 0.5000  3 Zn 2.39

Computed properties:
Symmetry: No. 187
Calculated total energy (eV for the cell shown): -22.65

***

Record 2
A relaxed structure of GdZn2Si, computed with GGA-PBE.

Cell lengths 4.4295, 4.1151, 4.1151 Å; angles 90.00, 90.00, 90.00 degrees
With the nearest neighbours (Å) after each atom.
Fractional coordinates of all 4 atoms:
Zn1 0.0000 0.5000 0.0000  4 Zn 2.91, 4 Si 3.02, 4 Gd 3.02
Zn2 0.0000 0.0000 0.5000  4 Zn 2.91, 4 Gd 3.02, 4 Si 3.02
Gd1 0.5000 0.0000 0.0000  4 Si 2.91, 8 Zn 3.02
Si1 0.5000 0.5000 0.5000  4 Gd 2.91, 8 Zn 3.02

Computed properties:
Symmetry: No. 123
Calculated total energy (eV for the cell shown): -23.35

***

Record 3
A relaxed structure of Sm3Gd, computed with GGA-PBE.

Cell lengths 3.6625, 6.3519, 6.8841 Å; angles 117.47, 105.43, 90.00 degrees
With the nearest neighbours (Å) after each atom.
Fractional coordinates of all 4 atoms:
Sm1 0.7508 0.0835 0.5017  3 Gd 3.59-3.61, 9 Sm 3.60-3.67
Sm2 0.5000 0.5009 0.0000  8 Sm 3.60-3.66, 4 Gd 3.66-3.67
Sm3 0.2492 0.5818 0.4983  3 Gd 3.59-3.61, 9 Sm 3.60-3.67
Gd1 0.0000 0.0006 0.0000  10 Sm 3.59-3.67, 2 Gd 3.66

Computed properties:
Symmetry: No. 44
ΔE_f (eV/atom): 0.02
Offset from the most stable computed form (meV/atom): 7

***

Record 4
A relaxed structure of Sm3Gd, computed with GGA-PBE.

Cell lengths 5.7576, 5.7576, 5.7576 Å; angles 60.00, 60.00, 60.00 degrees
With the nearest neighbours (Å) after each atom.
Fractional coordinates of all 4 atoms:
Sm1 0.2500 0.2500 0.2500  4 Gd 3.53, 4 Sm 3.53
Sm2 0.7500 0.7500 0.7500  4 Sm 3.53, 4 Gd 3.53
Sm3 0.0000 0.0000 0.0000  8 Sm 3.53
Gd1 0.5000 0.5000 0.5000  8 Sm 3.53

Computed properties:
Symmetry: No. 225
ΔE_f (eV/atom): 0.12
Offset from the most stable computed form (meV/atom): 108